## TiAsH2 (PBE)

Data for a relaxed structure of TiAsH2.

Computed properties:
energy above the lowest structure with this stoichiometry	0	meV per atom
symmetry	No. 8
total magnetic moment	0.00	μB per cell

```
data_TiAsH2
_chemical_formula_sum 'Ti1 As1 H2'
_cell_length_a 3.1136
_cell_length_b 3.1136
_cell_length_c 5.0298
_cell_angle_alpha 71.89
_cell_angle_beta 71.89
_cell_angle_gamma 61.41
_symmetry_space_group_name_H-M 'P 1'
_symmetry_Int_Tables_number 1
_symmetry_space_group_name_Hall 'P 1'
loop_
_atom_site_label
_atom_site_fract_x
_atom_site_fract_y
_atom_site_fract_z
Ti1 0.6942 0.6942 0.9183
As1 0.4985 0.4985 0.5000
H1 0.9996 0.9996 0.0091
H2 0.3077 0.3077 0.0726
```